The following is a DFT calculation (PBE) of K2BaF after structural relaxation.

Structure (POSCAR):
```
K2BaF
1.0
2.052 1.185 11.490
-2.052 1.185 11.490
0.000 -2.369 11.490
K Ba F
2 1 1
direct
0.123 0.123 0.123 K
0.877 0.877 0.877 K
0.000 0.000 0.000 Ba
0.500 0.500 0.500 F
```

Computed properties:
Symmetry   No. 166
Crystal system   trigonal
Formation energy from raw total energies   -4.812 eV per formula unit
ΔE to the lowest computed polymorph   0 meV per atom
E   -10.80 eV for the cell shown
Density of states at the Fermi level   2.45 states/eV/f.u.